Entry 1:
Entry from Alexandria via LeMat-Bulk: a relaxed PtBr2O crystal (PBE).

```
PtBr2O
1.0
3.774 -2.363 -0.879
-0.288 -4.110 -1.902
1.345 -0.614 -4.291
Pt O Br
1 1 2
Cartesian
2.415 -3.544 -3.536
0.000 0.000 0.000
3.623 -5.316 -5.304
1.208 -1.772 -1.768
```

Properties
Symmetry: Fm-3m, No. 225
D(E_F), states/eV/f.u.: 4.27
Magnetization, μB/cell: 0.0

---

Entry 2:
Entry from Alexandria via LeMat-Bulk: a relaxed TbAl2 crystal (PBE).

```
TbAl2
1.0
-0.854 -3.461 -2.043
3.760 -0.117 -1.653
-0.715 0.305 5.830
Al Tb
2 1
Cartesian
0.335 -0.594 1.123
1.857 -2.680 1.010
1.453 -1.789 -1.848
```

Properties
Energy relative to the elements, eV/atom: -0.10
Symmetry: C2/m, No. 12
D(E_F), states/eV/f.u.: 1.94
Magnetization, μB/cell: 0.0

---

What did we get for raw total energy? Answer: -2.63, -4.14 eV/atom, in the order shown.